Entry 1:
Below is a relaxed structure of Fe2CoRu, with properties calculated at the PBE-GGA level.

Geometry as POSCAR:
```
Fe2CoRu
1.0
-0.7325 -3.8194 -2.0725
1.0515 -2.5495 -3.4372
3.1649 -2.4710 1.8377
Ru Fe Co
1 2 1
direct
0.7500 0.7500 0.7500 Ru
0.5030 0.5030 0.4925 Fe
0.9970 0.9970 0.0075 Fe
0.2500 0.2500 0.2500 Co
```

Properties
The total magnetic moment comes out at 4.7 μB/cell. The value obtained for the formation energy is 0.1393 eV/atom.

=====

Entry 2:
Below is a relaxed structure of K3Cu2AuBr9, with properties calculated at the PBE-GGA level.

Geometry as POSCAR:
```
K3Cu2AuBr9
1.0
-3.6661 -5.8685 2.6616
4.5060 3.8772 4.4302
-6.9398 5.3952 2.3368
K Br Cu Au
3 9 2 1
direct
0.3333 0.6667 0.6762 K
0.0000 0.0000 0.0000 K
0.6667 0.3333 0.3238 K
0.6582 0.8291 0.3287 Br
0.1709 0.8291 0.3287 Br
0.8291 0.1709 0.6713 Br
0.5000 0.0000 0.0000 Br
0.5000 0.5000 0.0000 Br
0.0000 0.5000 0.0000 Br
0.3418 0.1709 0.6713 Br
0.1709 0.3418 0.3287 Br
0.8291 0.6582 0.6713 Br
0.6667 0.3333 0.8407 Cu
0.3333 0.6667 0.1593 Cu
0.0000 0.0000 0.5000 Au
```

Properties
The total magnetic moment comes out at 0.0 μB/cell. The uncorrected formation energy is -0.815 eV per atom.

=====

Entry 3:
Below is a relaxed structure of Ac2MgTiPd6, with properties calculated at the PBE-GGA level.

Geometry as POSCAR:
```
Ac2MgTiPd6
1.0
8.3351 -0.0662 1.5964
0.0459 5.9618 0.0107
5.4132 2.9305 5.8428
Ti Pd Mg Ac
1 6 1 2
direct
0.5000 0.5000 0.0000 Ti
0.7474 0.2525 0.9858 Pd
0.7474 0.7618 0.9857 Pd
0.2383 0.2525 0.4948 Pd
0.2526 0.2382 0.0143 Pd
0.7617 0.7475 0.5052 Pd
0.2526 0.7475 0.0142 Pd
0.0000 0.0000 0.0000 Mg
0.7756 0.2245 0.5511 Ac
0.2244 0.7755 0.4489 Ac
```

Properties
The total magnetic moment comes out at 0.0 μB/cell. The value obtained for the formation energy is -0.5077 eV/atom.

=====

Entry 4:
Below is a relaxed structure of NpSc6S8, with properties calculated at the PBE-GGA level.

Geometry as POSCAR:
```
NpSc6S8
1.0
-4.9589 3.0737 -4.5669
-3.2297 -4.0973 -5.2608
-7.1683 -1.7840 0.5728
Np S Sc
1 8 6
direct
0.0000 0.0000 0.0000 Np
0.7409 0.7409 0.2591 S
0.2591 0.2591 0.7409 S
0.2500 0.2500 0.2500 S
0.7409 0.2591 0.2591 S
0.7409 0.2591 0.7409 S
0.2591 0.7409 0.7409 S
0.7500 0.7500 0.7500 S
0.2591 0.7409 0.2591 S
0.5000 0.0000 0.0000 Sc
0.5000 0.5000 0.0000 Sc
0.0000 0.5000 0.5000 Sc
0.5000 0.0000 0.5000 Sc
0.0000 0.5000 0.0000 Sc
0.0000 0.0000 0.5000 Sc
```

Properties
The total magnetic moment comes out at 5.1 μB/cell. The uncorrected formation energy is -1.805 eV per atom.

=====

Entry 5:
Below is a relaxed structure of LiSmEr2Hg4, with properties calculated at the PBE-GGA level.

Geometry as POSCAR:
```
LiSmEr2Hg4
1.0
-3.6180 -2.0137 2.9889
1.3076 -2.5567 4.2227
-1.1014 5.8514 6.9717
Hg Er Sm Li
4 2 1 1
direct
0.6172 0.6172 0.1483 Hg
0.8732 0.8732 0.3803 Hg
0.1268 0.1268 0.6197 Hg
0.3828 0.3828 0.8517 Hg
0.2437 0.2437 0.2688 Er
0.7563 0.7563 0.7312 Er
0.0000 0.0000 0.0000 Sm
0.5000 0.5000 0.5000 Li
```

Properties
The total magnetic moment comes out at 0.0 μB/cell. The value obtained for the formation energy is -0.4424 eV/atom.

=====

Entry 6:
Below is a relaxed structure of PrLuOs, with properties calculated at the PBE-GGA level.

Geometry as POSCAR:
```
PrLuOs
1.0
3.4219 0.0000 0.0000
0.0000 3.4219 0.0000
-1.7110 -1.7110 6.6652
Os Lu Pr
1 1 1
direct
0.6736 0.6736 0.3471 Os
0.2890 0.2890 0.5780 Lu
0.0374 0.0374 0.0749 Pr
```

Properties
Its distance to the lowest polymorph of the same formula is 0.000 eV/atom. The total magnetic moment comes out at 0.0 μB/cell. The value obtained for the formation energy is -0.1486 eV/atom.

=====

- Which of these has the highest total magnetic moment?
  NpSc6S8